[1]
This record from Alexandria via LeMat-Bulk describes a relaxed structure of Ir2S3. The functional is GGA-PBE.

Lattice parameters (Å, degrees): 6.335 6.335 6.335 56.86 56.86 56.86
Atoms (fractional coordinates):
S 0.046 0.750 0.454
Ir 0.852 0.852 0.852
S 0.546 0.954 0.250
S 0.954 0.250 0.546
Ir 0.148 0.148 0.148
S 0.454 0.046 0.750
Ir 0.352 0.352 0.352
Ir 0.648 0.648 0.648
S 0.750 0.454 0.046
S 0.250 0.546 0.954

Crystal system: trigonal
E_form (uncorrected) in eV/atom: -0.355
Raw total energy in eV for the cell shown: -63.8
Size of the total moment in μB/f.u.: 0.00
SG: R-3c



[2]
This record from Alexandria via LeMat-Bulk describes a relaxed structure of Ti2GaNi7. The functional is GGA-PBE.

Lattice parameters (Å, degrees): 2.558 8.135 8.135 126.09 90.00 90.00
Atoms (fractional coordinates):
Ni 0.000 0.178 0.822
Ni 0.500 0.866 0.682
Ni 0.000 0.822 0.178
Ni 0.500 0.318 0.134
Ti 0.500 0.323 0.677
Ni 0.500 0.134 0.318
Ni 0.500 0.500 0.500
Ga 0.000 0.000 0.000
Ti 0.500 0.677 0.323
Ni 0.500 0.682 0.866

Crystal system: orthorhombic
N(E_F) in states/eV per cell: 9.53
Raw total energy in eV for the cell shown: -57.7
Size of the total moment in μB/f.u.: 0.00
SG: Cmmm



[3]
This record from Alexandria via LeMat-Bulk describes a relaxed structure of USbMo. The functional is GGA-PBE.

Lattice parameters (Å, degrees): 5.904 4.396 8.181 71.00 90.00 132.19
Atoms (fractional coordinates):
U 0.093 0.187 0.775
Mo 0.288 0.575 0.020
U 0.907 0.813 0.225
Mo 0.712 0.425 0.980
Sb 0.359 0.719 0.347
Sb 0.641 0.281 0.653

Crystal system: monoclinic
N(E_F) in states/eV per cell: 7.53
E_form (uncorrected) in eV/atom: 0.142
Raw total energy in eV for the cell shown: -51.6
Size of the total moment in μB/f.u.: 0.00
SG: C2/m



[4]
This record from Alexandria via LeMat-Bulk describes a relaxed structure of YBeTl. The functional is GGA-PBE.

Lattice parameters (Å, degrees): 4.534 4.534 4.534 60.00 60.00 60.00
Atoms (fractional coordinates):
Tl 0.000 0.000 0.000
Y 0.500 0.500 0.500
Be 0.250 0.250 0.250

Energy above the most stable polymorph in this dataset in meV per atom: 25
Crystal system: cubic
N(E_F) in states/eV per cell: 0.94
Raw total energy in eV for the cell shown: -12.8
Size of the total moment in μB/f.u.: 0.00
SG: F-43m



[5]
This record from Alexandria via LeMat-Bulk describes a relaxed structure of CoB3Pb. The functional is GGA-PBE.

Lattice parameters (Å, degrees): 4.551 4.551 4.551 90.00 90.00 90.00
Atoms (fractional coordinates):
B 0.000 0.500 0.000
B 0.500 0.000 0.000
Co 0.500 0.500 0.500
Pb 0.000 0.000 0.000
B 0.000 0.000 0.500

Energy above the most stable polymorph in this dataset in meV per atom: 2008
Crystal system: cubic
N(E_F) in states/eV per cell: 9.84
Raw total energy in eV for the cell shown: -15.6
Size of the total moment in μB/f.u.: 0.05
SG: Pm-3m



[6]
This record from Alexandria via LeMat-Bulk describes a relaxed structure of MgCrSe. The functional is GGA-PBE.

Lattice parameters (Å, degrees): 4.483 4.483 4.483 60.00 60.00 60.00
Site moments in Bohr magnetons follow the coordinates.
Atoms (fractional coordinates):
Cr 0.250 0.250 0.250  3.72
Mg 0.000 0.000 0.000  -0.02
Se 0.500 0.500 0.500  -0.05

Energy above the most stable polymorph in this dataset in meV per atom: 189
Crystal system: cubic
N(E_F) in states/eV per cell: 1.14
E_form (uncorrected) in eV/atom: 0.063
Raw total energy in eV for the cell shown: -14.5
Size of the total moment in μB/f.u.: 4.19
SG: F-43m